# Pr3Dy2In6 (PBE-GGA, relaxed)
data_Pr3Dy2In6
_cell_length_a 4.788
_cell_length_b 4.788
_cell_length_c 29.134
_cell_angle_alpha 90.00
_cell_angle_beta 90.00
_cell_angle_gamma 90.00
_space_group_name_H-M_alt 'I 4/m m m'
_space_group_IT_number 139
_space_group_name_Hall '-I 4 2'
loop_
_atom_site_label
_atom_site_type_symbol
_atom_site_fract_x
_atom_site_fract_y
_atom_site_fract_z
Pr1 Pr 0.000 0.000 0.000
Pr2 Pr 0.000 0.000 0.201
Dy1 Dy 0.000 0.000 0.446
In1 In 0.000 0.000 0.312
In2 In 0.000 0.500 0.118
# formation energy: -2.459 eV per formula unit